# 1
Compound: AcNd2Cd
Source: Alexandria via LeMat-Bulk
Functional: PBE-GGA
Structure: optimized geometry

Lattice parameters (Å, degrees): 11.5085 11.5085 11.5085 19.05 19.05 19.05
Atoms (fractional coordinates):
Ac (0.0000, 0.0000, 0.0000)
Nd (0.5734, 0.5734, 0.5734)
Nd (0.7602, 0.7602, 0.7602)
Cd (0.1666, 0.1666, 0.1666)

Computed properties:
Its density of states at the Fermi level is 1.106 states/eV/atom. As for the magnetic moment: 0.0 μB per cell. As for the relative energy among the computed polymorphs: 0.1124 eV/atom. The total energy comes out at -3.68 eV per atom. Its energy of formation is -0.04 eV per atom.



# 2
Compound: AcNd3Cd8
Source: Alexandria via LeMat-Bulk
Functional: PBE-GGA
Structure: optimized geometry

Lattice parameters (Å, degrees): 6.1523 6.1523 9.6006 90.00 90.00 120.00
Atoms (fractional coordinates):
Ac (0.0000, 0.0000, 0.0000)
Nd (0.0000, 0.0000, 0.3877)
Nd (0.6667, 0.3333, 0.4921)
Nd (0.6667, 0.3333, 0.8684)
Cd (0.1646, 0.3292, 0.6842)
Cd (0.1646, 0.8354, 0.6842)
Cd (0.3333, 0.6667, 0.4353)
Cd (0.3333, 0.6667, 0.9368)
Cd (0.5044, 0.0088, 0.1900)
Cd (0.5044, 0.4956, 0.1900)
Cd (0.6708, 0.8354, 0.6842)
Cd (0.9912, 0.4956, 0.1900)

Computed properties:
Its density of states at the Fermi level is 0.738 states/eV/atom. As for the magnetic moment: 0.0 μB per cell. The total energy comes out at -2.44 eV per atom. Its energy of formation is -0.29 eV per atom.



# 3
Compound: Ac2NdCd3
Source: Alexandria via LeMat-Bulk
Functional: PBE-GGA
Structure: optimized geometry

Lattice parameters (Å, degrees): 4.0001 4.0001 12.0466 90.00 90.00 90.00
Atoms (fractional coordinates):
Ac (0.0000, 0.0000, 0.1746)
Ac (0.0000, 0.0000, 0.8254)
Nd (0.0000, 0.0000, 0.5000)
Cd (0.5000, 0.5000, 0.0000)
Cd (0.5000, 0.5000, 0.3523)
Cd (0.5000, 0.5000, 0.6477)

Computed properties:
Its density of states at the Fermi level is 1.449 states/eV/atom. As for the magnetic moment: 0.0 μB per cell. The total energy comes out at -2.92 eV per atom. Its energy of formation is -0.29 eV per atom.